# 1
Compound: HfB3Mo
Source: the Alexandria database
Functional: PBE-GGA
Structure: optimized geometry

Lattice parameters (Å, degrees): 9.989 9.989 3.121 90.00 90.00 160.48
Fractional positions:
1 Hf 0.200 0.800 0.750
2 Hf 0.800 0.200 0.250
3 B 0.343 0.657 0.750
4 B 0.388 0.612 0.250
5 B 0.478 0.522 0.250
6 B 0.522 0.478 0.750
7 B 0.612 0.388 0.750
8 B 0.657 0.343 0.250
9 Mo 0.065 0.935 0.250
10 Mo 0.935 0.065 0.750

Output
N(E_F): 2.12 states/eV/f.u.
formation energy: -0.51 eV/atom
energy above the most stable polymorph in this dataset: 0.0 meV/atom
total magnetic moment: 0.00 Bohr magnetons per cell

***

# 2
Compound: AlCuHg2
Source: the Alexandria database
Functional: PBE-GGA
Structure: optimized geometry

Lattice parameters (Å, degrees): 4.272 4.272 18.321 90.00 90.00 90.00
Fractional positions:
1 Al 0.000 0.000 0.000
2 Al 0.000 0.500 0.250
3 Al 0.500 0.000 0.750
4 Al 0.500 0.500 0.500
5 Cu 0.000 0.000 0.500
6 Cu 0.000 0.500 0.750
7 Cu 0.500 0.000 0.250
8 Cu 0.500 0.500 0.000
9 Hg 0.242 0.250 0.625
10 Hg 0.250 0.742 0.875
11 Hg 0.250 0.758 0.375
12 Hg 0.258 0.250 0.125
13 Hg 0.742 0.750 0.125
14 Hg 0.750 0.242 0.375
15 Hg 0.750 0.258 0.875
16 Hg 0.758 0.750 0.625

Output
N(E_F): 1.49 states/eV/f.u.
formation energy: 0.25 eV/atom
total magnetic moment: 0.00 Bohr magnetons per cell

***

# 3
Compound: La9MgPb2
Source: the Alexandria database
Functional: PBE-GGA
Structure: optimized geometry

Lattice parameters (Å, degrees): 5.104 5.104 15.185 90.00 90.00 90.00
Fractional positions:
1 La 0.000 0.000 0.000
2 La 0.000 0.000 0.331
3 La 0.000 0.000 0.669
4 La 0.000 0.500 0.169
5 La 0.000 0.500 0.500
6 La 0.000 0.500 0.831
7 La 0.500 0.000 0.169
8 La 0.500 0.000 0.500
9 La 0.500 0.000 0.831
10 Mg 0.500 0.500 0.000
11 Pb 0.500 0.500 0.334
12 Pb 0.500 0.500 0.666

Output
N(E_F): 16.93 states/eV/f.u.
formation energy: -0.27 eV/atom
total magnetic moment: 0.00 Bohr magnetons per cell

***

# 4
Compound: La2HgRu
Source: the Alexandria database
Functional: PBE-GGA
Structure: optimized geometry

Lattice parameters (Å, degrees): 8.201 8.201 6.456 90.00 90.00 90.00
Fractional positions:
1 La 0.191 0.750 0.125
2 La 0.250 0.191 0.875
3 La 0.250 0.309 0.375
4 La 0.309 0.750 0.625
5 La 0.691 0.250 0.625
6 La 0.750 0.691 0.375
7 La 0.750 0.809 0.875
8 La 0.809 0.250 0.125
9 Hg 0.000 0.000 0.500
10 Hg 0.000 0.500 0.750
11 Hg 0.500 0.000 0.250
12 Hg 0.500 0.500 0.000
13 Ru 0.000 0.000 0.000
14 Ru 0.000 0.500 0.250
15 Ru 0.500 0.000 0.750
16 Ru 0.500 0.500 0.500

Output
N(E_F): 3.87 states/eV/f.u.
formation energy: -0.14 eV/atom
total magnetic moment: 0.00 Bohr magnetons per cell

***

# 5
Compound: Sm2TmPu
Source: the Alexandria database
Functional: PBE-GGA
Structure: optimized geometry

Lattice parameters (Å, degrees): 5.002 5.002 4.980 90.00 90.00 90.00
Fractional positions:
1 Sm 0.000 0.500 0.000
2 Sm 0.500 0.000 0.000
3 Tm 0.000 0.000 0.500
4 Pu 0.500 0.500 0.500

Output
N(E_F): 16.17 states/eV/f.u.
formation energy: 0.14 eV/atom
energy above the most stable polymorph in this dataset: 36.1 meV/atom
total magnetic moment: 6.25 Bohr magnetons per cell

***

# 6
Compound: Ac3Zn2SiNi6
Source: the Alexandria database
Functional: PBE-GGA
Structure: optimized geometry

Lattice parameters (Å, degrees): 5.899 5.899 8.036 90.00 90.00 120.00
Fractional positions:
1 Ac 0.000 0.000 0.000
2 Ac 0.333 0.667 0.712
3 Ac 0.667 0.333 0.288
4 Zn 0.333 0.667 0.118
5 Zn 0.667 0.333 0.882
6 Si 0.000 0.000 0.500
7 Ni 0.195 0.390 0.373
8 Ni 0.195 0.805 0.373
9 Ni 0.390 0.195 0.627
10 Ni 0.610 0.805 0.373
11 Ni 0.805 0.195 0.627
12 Ni 0.805 0.610 0.627

Output
N(E_F): 5.83 states/eV/f.u.
uncorrected formation energy: -3.43 eV per formula unit
total magnetic moment: 0.00 Bohr magnetons per cell